1.
ErTiTe PBE relaxed; space group = P-6m2; DFT total energy = -5.52 eV/atom; uncorrected formation energy = -0.3152 eV/atom
1.0
-2.1197 -1.5335 2.6716
1.5423 -4.2867 -1.2369
2.3205 2.4904 3.2707
Te Ti Er
1 1 1
Direct
0.1669 0.3333 0.6667
0.1665 0.0000 0.0000
0.6665 0.6667 0.3333

2.
Mg2FeCu PBE relaxed; space group = F-43m; ΔE_f = 23.3 kJ per mole of atoms; DFT total energy = -3.70 eV/atom
1.0
4.4470 0.0000 0.0000
2.2235 3.8512 0.0000
2.2235 1.2837 3.6310
Fe Mg Cu
1 2 1
Direct
0.7500 0.7500 0.7500
0.0000 0.0000 0.0000
0.2500 0.2500 0.2500
0.5000 0.5000 0.5000

3.
NaScTcO5 PBE relaxed; space group = C2/c; DFT total energy = -7.40 eV/atom; uncorrected formation energy = -2.0531 eV/atom
1.0
5.9121 0.0021 0.0505
-1.7238 5.6552 0.0505
-1.6809 -2.2705 6.9789
O Sc Tc Na
10 2 2 2
Direct
0.3817 0.2702 0.0787
0.0679 0.9321 0.2500
0.7298 0.6183 0.4213
0.6183 0.7298 0.9213
0.1128 0.6866 0.8815
0.9321 0.0679 0.7500
0.3134 0.8872 0.6185
0.8872 0.3134 0.1185
0.2702 0.3817 0.5787
0.6866 0.1128 0.3815
0.0000 0.0000 0.0000
0.0000 0.0000 0.5000
0.6698 0.3302 0.2500
0.3302 0.6698 0.7500
0.3069 0.6931 0.2500
0.6931 0.3069 0.7500

4.
TbZrU2N4 PBE relaxed; space group = P2/m; DFT total energy = -10.14 eV/atom; uncorrected formation energy = -1.5033 eV/atom
1.0
3.3877 0.0000 0.0000
0.0000 5.8919 0.1049
0.0000 -2.0555 5.5731
Tb N Zr U
1 4 1 2
Direct
0.5000 0.5000 0.0000
0.5000 0.7610 0.7528
0.0000 0.7631 0.2547
0.5000 0.2390 0.2472
0.0000 0.2369 0.7453
0.0000 0.0000 0.0000
0.0000 0.5000 0.5000
0.5000 0.0000 0.5000

5.
MnCoW2 PBE relaxed; E above lowest polymorph = 50 meV/atom; space group = P2/m; ΔE_f = 17.4 kJ per mole of atoms; DFT total energy = -10.37 eV/atom
1.0
-0.9712 -3.7580 -1.2236
2.5045 -0.7923 0.4456
-0.0875 -1.6021 4.9900
W Mn Co
2 1 1
Direct
0.0000 0.9951 0.9985
0.0000 0.5049 0.5015
0.5000 0.7500 0.7500
0.5000 0.2500 0.2500

6.
ZrGe3F PBE relaxed; E above lowest polymorph = 0 meV/atom; space group = Pm-3m; DFT total energy = -5.15 eV/atom; uncorrected formation energy = -0.2998 eV/atom
1.0
4.4868 0.0000 0.0000
0.0000 4.4868 0.0000
0.0000 0.0000 4.4868
Ge F Zr
3 1 1
Direct
0.5000 0.0000 0.0000
0.0000 0.0000 0.5000
0.0000 0.5000 0.0000
0.0000 0.0000 0.0000
0.5000 0.5000 0.5000